Below is a geometry-optimized TlIn2Fe structure, with properties calculated at the PBE-GGA level.

Properties
E above lowest polymorph   0.242 eV per atom
Total magnetic moment   3.05 Bohr magnetons per cell
Electronic total energy   -3.593 eV/atom

Cell and atoms, written as CIF:
```
data_TlIn2Fe
_symmetry_space_group_name_H-M 'P 1'
_symmetry_Int_Tables_number 1
_cell_length_a 3.119
_cell_length_b 5.464
_cell_length_c 5.466
_cell_angle_alpha 90.00
_cell_angle_beta 90.00
_cell_angle_gamma 90.00
loop_
_symmetry_equiv_pos_as_xyz
'x,y,z'
loop_
_atom_site_label
_atom_site_type_symbol
_atom_site_fract_x
_atom_site_fract_y
_atom_site_fract_z
Tl1 Tl 0.000 0.000 0.000
In1 In 0.000 0.500 0.500
In2 In 0.500 0.000 0.500
Fe1 Fe 0.500 0.500 0.000
```